[1]
# Ti5NbZn4, relaxed, DFT PBE
# ΔH_f (0 K) ... -144.1 meV/atom
# Magnetic moment ... 0.00 μB/f.u.
# E ... -56.1 eV per cell
data_Ti5NbZn4
_chemical_formula_sum 'Ti5 Nb1 Zn4'
_cell_length_a 3.206
_cell_length_b 3.206
_cell_length_c 15.607
_cell_angle_alpha 90.00
_cell_angle_beta 90.00
_cell_angle_gamma 90.00
_symmetry_space_group_name_H-M 'P 4/m m m'
_symmetry_Int_Tables_number 123
_symmetry_space_group_name_Hall '-P 4 2'
loop_
_atom_site_label
_atom_site_fract_x
_atom_site_fract_y
_atom_site_fract_z
Ti1 0.000 0.000 0.000
Ti2 0.000 0.000 0.196
Ti3 0.000 0.000 0.397
Nb1 0.500 0.500 0.500
Zn1 0.500 0.500 0.098
Zn2 0.500 0.500 0.296

[2]
# SmScBiSe, relaxed, DFT PBE
# ΔE_f (raw) ... -1.13 eV/atom
# Magnetic moment ... 0.56 μB/f.u.
# E ... -68.8 eV per cell
data_SmScBiSe
_chemical_formula_sum 'Sm3 Sc3 Bi3 Se3'
_cell_length_a 4.1030
_cell_length_b 4.1030
_cell_length_c 22.2617
_cell_angle_alpha 90.00
_cell_angle_beta 90.00
_cell_angle_gamma 120.00
_symmetry_space_group_name_H-M 'R 3 m'
_symmetry_Int_Tables_number 160
_symmetry_space_group_name_Hall 'R 3 -2"'
loop_
_atom_site_label
_atom_site_fract_x
_atom_site_fract_y
_atom_site_fract_z
Sm1 0.0000 0.0000 0.0000
Sc1 0.0000 0.0000 0.1608
Bi1 0.0000 0.0000 0.5721
Se1 0.0000 0.0000 0.7541

[3]
# Ca3Pm2AgTe6, relaxed, DFT PBE
# ΔE_f (raw) ... -1.32 eV/atom
# Magnetic moment ... 0.00 μB/f.u.
# E ... -106.2 eV per cell
data_Ca3Pm2AgTe6
_chemical_formula_sum 'Ca6 Pm4 Ag2 Te12'
_cell_length_a 7.767
_cell_length_b 13.444
_cell_length_c 7.760
_cell_angle_alpha 90.00
_cell_angle_beta 109.57
_cell_angle_gamma 90.00
_symmetry_space_group_name_H-M 'C 1 2/m 1'
_symmetry_Int_Tables_number 12
loop_
_symmetry_equiv_pos_as_xyz
'x,y,z'
'-x,-y,-z'
'-x,y,-z'
'x,-y,z'
'x+1/2,y+1/2,z'
'-x+1/2,-y+1/2,-z'
'-x+1/2,y+1/2,-z'
'x+1/2,-y+1/2,z'
loop_
_atom_site_label
_atom_site_fract_x
_atom_site_fract_y
_atom_site_fract_z
Ca1 0.000 0.000 0.000
Ca2 0.000 0.332 0.000
Pm1 0.000 0.166 0.500
Ag1 0.000 0.500 0.500
Te1 0.247 0.335 0.746
Te2 0.247 0.500 0.252

[4]
# AcAg2Sn2, relaxed, DFT PBE
# ΔH_f (0 K) ... -430.6 meV/atom
# Magnetic moment ... 0.00 μB/f.u.
# E ... -39.9 eV per cell
data_AcAg2Sn2
_chemical_formula_sum 'Ac2 Ag4 Sn4'
_cell_length_a 4.732
_cell_length_b 4.732
_cell_length_c 11.642
_cell_angle_alpha 90.00
_cell_angle_beta 90.00
_cell_angle_gamma 90.00
_symmetry_space_group_name_H-M 'P 4/n m m'
_symmetry_Int_Tables_number 129
loop_
_symmetry_equiv_pos_as_xyz
'x,y,z'
'-x,-y,-z'
'-y+1/2,x,z'
'y+1/2,-x,-z'
'-x+1/2,-y+1/2,z'
'x+1/2,y+1/2,-z'
'y,-x+1/2,z'
'-y,x+1/2,-z'
'x+1/2,-y,-z'
'-x+1/2,y,z'
'-y,-x,-z'
'y,x,z'
'-x,y+1/2,-z'
'x,-y+1/2,z'
'y+1/2,x+1/2,-z'
'-y+1/2,-x+1/2,z'
loop_
_atom_site_label
_atom_site_fract_x
_atom_site_fract_y
_atom_site_fract_z
Ac1 0.250 0.250 0.242
Ag1 0.250 0.250 0.637
Ag2 0.250 0.750 0.000
Sn1 0.250 0.250 0.870
Sn2 0.250 0.750 0.500